Entry 1:
Density functional theory data (PBE) for a relaxed HoTmS2Cl2 crystal.

Cell: 3.952 5.325 8.269 Å, 90.00 90.00 90.00°
Positions (direct):
S1 0.500 0.000 0.909
S2 0.000 0.500 0.087
Tm1 0.500 0.500 0.862
Cl1 0.500 0.000 0.353
Cl2 0.000 0.500 0.652
Ho1 0.000 0.000 0.137

Computed properties:
**Total magnetization**: 0.0003 μB per atom
**Electronic total energy**: -5.69 eV per atom

=====

Entry 2:
Density functional theory data (PBE) for a relaxed SrLiDyS3 crystal.

Cell: 8.703 8.703 8.315 Å, 103.96 103.96 26.37°
Positions (direct):
Sr1 0.133 0.133 0.564
Sr2 0.867 0.867 0.436
Li1 0.504 0.504 0.202
Li2 0.496 0.496 0.798
S1 0.500 0.500 0.500
S2 0.326 0.326 0.687
S3 0.000 0.000 0.000
S4 0.667 0.667 0.858
S5 0.333 0.333 0.142
S6 0.674 0.674 0.313
Dy1 0.166 0.166 0.087
Dy2 0.834 0.834 0.913

Computed properties:
**Energy relative to the lowest polymorph listed for this composition**: 0.0 meV/atom
**Total magnetization**: 0.0004 μB per atom
**Electronic total energy**: -5.38 eV per atom

=====

Entry 3:
Density functional theory data (PBE) for a relaxed NdPdO3 crystal.

Cell: 5.517 5.951 7.726 Å, 90.00 90.00 90.00°
Positions (direct):
O1 0.189 0.196 0.946
O2 0.689 0.304 0.054
O3 0.619 0.042 0.750
O4 0.881 0.542 0.750
O5 0.119 0.458 0.250
O6 0.689 0.304 0.446
O7 0.381 0.958 0.250
O8 0.811 0.804 0.446
O9 0.311 0.696 0.554
O10 0.311 0.696 0.946
O11 0.811 0.804 0.054
O12 0.189 0.196 0.554
Nd1 0.475 0.423 0.750
Nd2 0.025 0.923 0.750
Nd3 0.975 0.077 0.250
Nd4 0.525 0.577 0.250
Pd1 0.000 0.500 0.500
Pd2 0.500 0.000 0.500
Pd3 0.000 0.500 0.000
Pd4 0.500 0.000 0.000

Computed properties:
**Total magnetization**: 0.0011 μB per atom
**Electronic total energy**: -6.84 eV per atom

=====

Entry 4:
Density functional theory data (PBE) for a relaxed HfCdNiB crystal.

Cell: 4.359 4.359 4.359 Å, 60.00 60.00 60.00°
Positions (direct):
B1 0.000 0.000 0.000
Ni1 0.750 0.750 0.750
Hf1 0.250 0.250 0.250
Cd1 0.500 0.500 0.500

Computed properties:
**Energy relative to the lowest polymorph listed for this composition**: 266.6 meV/atom
**Total magnetization**: 0.0029 μB per atom
**Electronic total energy**: -5.31 eV per atom